Below is a geometry-optimized BaCdPbCl2O2 structure, with properties calculated at the PBE level.

Values from the calculation:
**Raw total energy**: -4.55 eV per atom

a = 12.390 Å, b = 4.030 Å, c = 7.638 Å
α = 90.00°, β = 121.63°, γ = 90.00°
Space group Cm (No. 8)
Symmetry-distinct sites (fractional):
Ba1 0.000 0.000 0.000
Cd1 0.177 0.000 0.715
Pb1 0.374 0.000 0.496
Cl1 0.108 0.500 0.391
Cl2 0.232 0.500 0.025
O1 0.365 0.000 0.787
O2 0.488 0.500 0.640

Below is a geometry-optimized AgPAuO structure, with properties calculated at the PBE level.

Values from the calculation:
**Raw total energy**: -3.91 eV per atom
**E above lowest polymorph**: 3.4 meV per atom

a = 4.330 Å, b = 4.330 Å, c = 8.282 Å
α = 90.00°, β = 90.00°, γ = 90.00°
Space group P4/nmm (No. 129, origin choice 2)
Symmetry-distinct sites (fractional):
Ag1 0.250 0.250 0.054
P1 0.250 0.250 0.353
Au1 0.250 0.750 0.500
O1 0.250 0.750 0.000

Below is a geometry-optimized HfScFeGe structure, with properties calculated at the PBE level.

Values from the calculation:
**Raw total energy**: -7.40 eV per atom
**E above lowest polymorph**: 0.0 meV per atom
**Total magnetic moment**: 2.72 μB per cell

a = 6.354 Å, b = 6.354 Å, c = 6.354 Å
α = 90.00°, β = 90.00°, γ = 90.00°
Space group F-43m (No. 216)
Symmetry-distinct sites (fractional):
Hf1 0.000 0.000 0.000
Sc1 0.250 0.250 0.250
Fe1 0.250 0.250 0.750
Ge1 0.000 0.000 0.500

Below is a geometry-optimized TbSbIr structure, with properties calculated at the PBE level.

Values from the calculation:
**Raw total energy**: -6.66 eV per atom
**Total magnetic moment**: 0.00 μB per cell

a = 7.0003 Å, b = 7.0003 Å, c = 4.4660 Å
α = 90.00°, β = 90.00°, γ = 120.00°
Space group P-62m (No. 189)
Symmetry-distinct sites (fractional):
Tb1 0.0000 0.5667 0.0000
Sb1 0.0000 0.0000 0.0000
Sb2 0.3333 0.6667 0.5000
Ir1 0.0000 0.2377 0.5000

Below is a geometry-optimized ScIn2Hg structure, with properties calculated at the PBE level.

Values from the calculation:
**Raw total energy**: -3.27 eV per atom
**Total magnetic moment**: 0.00 μB per cell

a = 5.192 Å, b = 11.031 Å, c = 6.334 Å
α = 90.00°, β = 90.00°, γ = 90.00°
Space group Ama2 (No. 40)
Symmetry-distinct sites (fractional):
Sc1 0.250 0.166 0.000
In1 0.250 0.164 0.504
In2 0.250 0.416 0.753
Hg1 0.250 0.414 0.259

Below is a geometry-optimized PrNdTlNi2 structure, with properties calculated at the PBE level.

Values from the calculation:
**Raw total energy**: -5.00 eV per atom
**Total magnetic moment**: 0.00 μB per cell

a = 3.816 Å, b = 4.011 Å, c = 14.735 Å
α = 90.00°, β = 90.00°, γ = 90.00°
Space group Amm2 (No. 38)
Symmetry-distinct sites (fractional):
Pr1 0.000 0.000 0.000
Nd1 0.000 0.000 0.725
Tl1 0.500 0.000 0.362
Ni1 0.500 0.000 0.161
Ni2 0.500 0.000 0.566

Below is a geometry-optimized HoNi4Te3 structure, with properties calculated at the PBE level.

Values from the calculation:
**Raw total energy**: -4.84 eV per atom
**Total magnetic moment**: 0.00 μB per cell

a = 5.216 Å, b = 4.016 Å, c = 6.854 Å
α = 90.00°, β = 93.77°, γ = 90.00°
Space group Pm (No. 6)
Symmetry-distinct sites (fractional):
Ho1 0.000 0.000 0.000
Ni1 0.005 0.500 0.692
Ni2 0.282 0.000 0.635
Ni3 0.499 0.000 0.164
Ni4 0.780 0.500 0.278
Te1 0.261 0.500 0.347
Te2 0.506 0.500 0.907
Te3 0.766 0.000 0.531

Below is a geometry-optimized ZnIrPd structure, with properties calculated at the PBE level.

Values from the calculation:
**Formation energy**: 365 meV/atom
**Raw total energy**: -4.73 eV per atom
**E above lowest polymorph**: 572.4 meV per atom
**Total magnetic moment**: 3.90 μB per cell

a = 5.975 Å, b = 5.975 Å, c = 5.975 Å
α = 90.00°, β = 90.00°, γ = 90.00°
Space group F-43m (No. 216)
Symmetry-distinct sites (fractional):
Zn1 0.000 0.000 0.000
Ir1 0.250 0.250 0.750
Pd1 0.000 0.000 0.500

Below is a geometry-optimized GdZnInS3 structure, with properties calculated at the PBE level.

Values from the calculation:
**Raw total energy**: -4.66 eV per atom
**E above lowest polymorph**: 0.0 meV per atom
**Total magnetic moment**: 0.02 μB per cell

a = 3.987 Å, b = 14.085 Å, c = 10.648 Å
α = 90.00°, β = 90.00°, γ = 90.00°
Space group Cmcm (No. 63)
Symmetry-distinct sites (fractional):
Gd1 0.000 0.000 0.000
Zn1 0.000 0.461 0.250
In1 0.000 0.253 0.750
S1 0.000 0.062 0.250
S2 0.000 0.373 0.066

Below is a geometry-optimized ZrN2 structure, with properties calculated at the PBE level.

Values from the calculation:
**Raw total energy**: -8.04 eV per atom
**Total magnetic moment**: 16.00 μB per cell

a = 9.436 Å, b = 9.436 Å, c = 9.436 Å
α = 90.00°, β = 90.00°, γ = 90.00°
Space group Fd-3m (No. 227, origin choice 2)
Symmetry-distinct sites (fractional):
Zr1 0.125 0.125 0.125
N1 0.000 0.000 0.000

Below is a geometry-optimized PmNbO structure, with properties calculated at the PBE level.

Values from the calculation:
**Raw total energy**: -7.77 eV per atom
**E above lowest polymorph**: 0.0 meV per atom
**Total magnetic moment**: 0.01 μB per cell

a = 3.148 Å, b = 3.148 Å, c = 5.051 Å
α = 90.00°, β = 90.00°, γ = 90.00°
Space group P4/mmm (No. 123)
Symmetry-distinct sites (fractional):
Pm1 0.000 0.000 0.000
Nb1 0.500 0.500 0.500
O1 0.000 0.000 0.500

Below is a geometry-optimized TaPbNO2 structure, with properties calculated at the PBE level.

Values from the calculation:
**Raw total energy**: -8.35 eV per atom
**Total magnetic moment**: 0.01 μB per cell

a = 7.927 Å, b = 5.824 Å, c = 5.812 Å
α = 90.00°, β = 90.00°, γ = 90.00°
Space group Pmc2_1 (No. 26)
Symmetry-distinct sites (fractional):
Ta1 0.247 0.235 0.000
Pb1 0.000 0.237 0.498
Pb2 0.500 0.264 0.493
N1 0.223 0.000 0.271
O1 0.000 0.305 0.031
O2 0.278 0.493 0.291
O3 0.500 0.217 0.037

Below is a geometry-optimized LuGaFeHg structure, with properties calculated at the PBE level.

Values from the calculation:
**Raw total energy**: -4.00 eV per atom
**E above lowest polymorph**: 105.4 meV per atom
**Total magnetic moment**: 8.47 μB per cell

a = 6.690 Å, b = 6.690 Å, c = 6.690 Å
α = 90.00°, β = 90.00°, γ = 90.00°
Space group F-43m (No. 216)
Symmetry-distinct sites (fractional):
Lu1 0.000 0.000 0.000
Ga1 0.000 0.000 0.500
Fe1 0.250 0.250 0.750
Hg1 0.250 0.250 0.250

Below is a geometry-optimized GdHf31O64 structure, with properties calculated at the PBE level.

Values from the calculation:
**Raw total energy**: -10.09 eV per atom
**E above lowest polymorph**: 0.0 meV per atom
**Total magnetic moment**: 0.78 μB per cell

a = 10.235 Å, b = 10.342 Å, c = 10.550 Å
α = 89.97°, β = 80.39°, γ = 89.90°
Space group P1 (No. 1)
Symmetry-distinct sites (fractional):
Gd1 0.000 0.000 0.000
Hf1 0.000 0.289 0.252
Hf2 0.000 0.496 0.502
Hf3 0.000 0.497 0.001
Hf4 0.000 0.788 0.253
Hf5 0.000 0.996 0.502
Hf6 0.001 0.287 0.751
Hf7 0.221 0.539 0.209
Hf8 0.221 0.748 0.960
Hf9 0.222 0.037 0.210
Hf10 0.222 0.245 0.460
Hf11 0.222 0.746 0.460
Hf12 0.223 0.038 0.709
Hf13 0.223 0.538 0.710
Hf14 0.225 0.248 0.959
Hf15 0.498 0.288 0.252
Hf16 0.499 0.496 0.501
Hf17 0.499 0.497 0.002
Hf18 0.499 0.787 0.252
Hf19 0.500 0.787 0.752
Hf20 0.500 0.995 0.502
Hf21 0.500 0.997 0.002
Hf22 0.501 0.287 0.751
Hf23 0.720 0.038 0.211
Hf24 0.720 0.248 0.960
Hf25 0.721 0.745 0.958
Hf26 0.722 0.537 0.210
Hf27 0.722 0.537 0.708
Hf28 0.722 0.746 0.459
Hf29 0.723 0.038 0.710
Hf30 0.723 0.246 0.459
Hf31 0.999 0.786 0.752
O1 0.082 0.645 0.115
O2 0.084 0.138 0.367
O3 0.085 0.145 0.614
O4 0.085 0.638 0.366
O5 0.085 0.638 0.865
O6 0.085 0.644 0.615
O7 0.093 0.154 0.119
O8 0.095 0.147 0.857
O9 0.136 0.896 0.348
O10 0.137 0.396 0.346
O11 0.137 0.888 0.595
O12 0.138 0.388 0.596
O13 0.138 0.392 0.094
O14 0.138 0.398 0.845
O15 0.144 0.883 0.103
O16 0.144 0.891 0.839
O17 0.326 0.099 0.026
O18 0.326 0.183 0.279
O19 0.326 0.602 0.028
O20 0.326 0.684 0.277
O21 0.327 0.601 0.527
O22 0.328 0.101 0.528
O23 0.329 0.681 0.778
O24 0.333 0.181 0.777
O25 0.394 0.351 0.434
O26 0.394 0.433 0.184
O27 0.394 0.851 0.435
O28 0.395 0.432 0.683
O29 0.396 0.850 0.934
O30 0.396 0.934 0.185
O31 0.397 0.352 0.933
O32 0.397 0.933 0.683
O33 0.575 0.147 0.117
O34 0.583 0.638 0.865
O35 0.583 0.645 0.116
O36 0.584 0.638 0.365
O37 0.584 0.646 0.615
O38 0.585 0.138 0.366
O39 0.585 0.138 0.865
O40 0.586 0.145 0.615
O41 0.635 0.894 0.347
O42 0.636 0.389 0.096
O43 0.637 0.388 0.594
O44 0.637 0.395 0.345
O45 0.637 0.397 0.845
O46 0.637 0.887 0.096
O47 0.637 0.896 0.846
O48 0.638 0.888 0.596
O49 0.812 0.104 0.033
O50 0.824 0.597 0.026
O51 0.825 0.682 0.773
O52 0.826 0.100 0.527
O53 0.826 0.598 0.525
O54 0.826 0.681 0.278
O55 0.827 0.183 0.278
O56 0.828 0.183 0.778
O57 0.888 0.931 0.196
O58 0.894 0.838 0.931
O59 0.895 0.350 0.435
O60 0.895 0.432 0.184
O61 0.895 0.433 0.684
O62 0.896 0.350 0.934
O63 0.896 0.847 0.439
O64 0.896 0.935 0.686

Below is a geometry-optimized Hf2CoW structure, with properties calculated at the PBE level.

Values from the calculation:
**Formation energy**: 223 meV/atom
**Raw total energy**: -9.77 eV per atom
**Total magnetic moment**: 0.07 μB per cell

a = 6.461 Å, b = 6.461 Å, c = 6.461 Å
α = 90.00°, β = 90.00°, γ = 90.00°
Space group F-43m (No. 216)
Symmetry-distinct sites (fractional):
Hf1 0.000 0.000 0.000
Hf2 0.250 0.250 0.250
Co1 0.250 0.250 0.750
W1 0.000 0.000 0.500

Below is a geometry-optimized GdAu2 structure, with properties calculated at the PBE level.

Values from the calculation:
**Formation energy**: -851 meV/atom
**Raw total energy**: -4.58 eV per atom
**Total magnetic moment**: 0.00 μB per cell

a = 3.758 Å, b = 3.758 Å, c = 9.116 Å
α = 90.00°, β = 90.00°, γ = 90.00°
Space group I4/mmm (No. 139)
Symmetry-distinct sites (fractional):
Gd1 0.000 0.000 0.000
Au1 0.000 0.000 0.335

Below is a geometry-optimized CsAcPr structure, with properties calculated at the PBE level.

Values from the calculation:
**Raw total energy**: -2.19 eV per atom
**E above lowest polymorph**: 5.0 meV per atom
**Total magnetic moment**: 0.04 μB per cell

a = 8.327 Å, b = 8.327 Å, c = 8.327 Å
α = 90.00°, β = 90.00°, γ = 90.00°
Space group F-43m (No. 216)
Symmetry-distinct sites (fractional):
Cs1 0.000 0.000 0.000
Ac1 0.250 0.250 0.750
Pr1 0.250 0.250 0.250

Below is a geometry-optimized Dy2Al2O5 structure, with properties calculated at the PBE level.

Values from the calculation:
**Raw total energy**: -7.51 eV per atom
**E above lowest polymorph**: 0.0 meV per atom
**Total magnetic moment**: 0.00 μB per cell

a = 3.706 Å, b = 3.706 Å, c = 6.995 Å
α = 90.00°, β = 90.00°, γ = 90.00°
Space group P4/mmm (No. 123)
Symmetry-distinct sites (fractional):
Dy1 0.000 0.000 0.000
Dy2 0.000 0.000 0.500
Al1 0.500 0.500 0.232
O1 0.000 0.500 0.242
O2 0.500 0.500 0.500

Below is a geometry-optimized CdInSi2 structure, with properties calculated at the PBE level.

Values from the calculation:
**Raw total energy**: -3.10 eV per atom

a = 6.887 Å, b = 6.887 Å, c = 6.887 Å
α = 90.00°, β = 90.00°, γ = 90.00°
Space group F-43m (No. 216)
Symmetry-distinct sites (fractional):
Cd1 0.000 0.000 0.000
In1 0.250 0.250 0.750
Si1 0.000 0.000 0.500
Si2 0.250 0.250 0.250

Below is a geometry-optimized SrUAs structure, with properties calculated at the PBE level.

Values from the calculation:
**Raw total energy**: -5.78 eV per atom
**E above lowest polymorph**: 6.6 meV per atom
**Total magnetic moment**: 15.96 μB per cell

a = 7.158 Å, b = 7.158 Å, c = 7.158 Å
α = 90.00°, β = 90.00°, γ = 90.00°
Space group F-43m (No. 216)
Symmetry-distinct sites (fractional):
Sr1 0.000 0.000 0.000
U1 0.000 0.000 0.500
As1 0.250 0.250 0.250

Below is a geometry-optimized K2TlPt2 structure, with properties calculated at the PBE level.

Values from the calculation:
**Raw total energy**: -3.41 eV per atom
**Total magnetic moment**: 0.01 μB per cell

a = 7.089 Å, b = 7.089 Å, c = 5.396 Å
α = 90.00°, β = 90.00°, γ = 90.00°
Space group P4/mbm (No. 127)
Symmetry-distinct sites (fractional):
K1 0.171 0.329 0.000
Tl1 0.000 0.000 0.500
Pt1 0.130 0.630 0.500